# ReSi2Sb

A PBEsol-optimized structure of ReSi2Sb (meta-GGA SCAN, Alexandria via LeMat-Bulk).

The energy relative to the elements, uncorrected comes out at 0.76 eV/atom. As for the crystal system: orthorhombic. For the total energy, the calculation gives -250.7 eV for the cell shown.

It has space group Immm (No. 71), with a = 3.3014 Å, b = 4.9190 Å, c = 8.1012 Å, α = 90.00°, β = 90.00° and γ = 90.00°. The distinct sites, in fractional coordinates, are Re at (0.0000, 0.0000, 0.0000), Si at (0.0000, 0.5000, 0.2619) and Sb at (0.0000, 0.0000, 0.5000).